(1)
The following is a DFT calculation (PBE) of a geometry-optimized MnNbAg3 structure.

Output
For the volume, the calculation gives 20.5 Å³/atom. The value obtained for the density of states at the Fermi level is 9.75 states/eV/f.u.

Cell: 4.6766 4.6766 4.6766 Å, 90.00 90.00 90.00°
Element x y z (fractional)
1 Ag 0.0000 0.0000 0.5000
2 Ag 0.5000 0.0000 0.0000
3 Ag 0.0000 0.5000 0.0000
4 Mn 0.0000 0.0000 0.0000
5 Nb 0.5000 0.5000 0.5000


(2)
The following is a DFT calculation (PBE) of a geometry-optimized MnNbAg3 structure.

Output
For the volume, the calculation gives 26.9 Å³/atom. The value obtained for the density of states at the Fermi level is 5.12 states/eV/f.u.

Cell: 5.1213 5.1213 5.1213 Å, 90.00 90.00 90.00°
Element x y z (fractional)
1 Ag 0.0000 0.5000 0.0000
2 Ag 0.0000 0.0000 0.5000
3 Ag 0.5000 0.0000 0.0000
4 Nb 0.0000 0.0000 0.0000
5 Mn 0.5000 0.5000 0.5000


Which of them is the least stable? Correct choice: (1).


(1)
The following is a DFT calculation (PBE) of a geometry-optimized MnNi2Ag structure.

Output
For the volume, the calculation gives 13.5 Å³/atom. The value obtained for the density of states at the Fermi level is 4.16 states/eV/f.u.

Cell: 4.2441 4.2441 4.2441 Å, 60.00 60.00 60.00°
Element x y z (fractional)
1 Ag 0.5000 0.5000 0.5000
2 Mn 0.2500 0.2500 0.2500
3 Ni 0.7500 0.7500 0.7500
4 Ni 0.0000 0.0000 0.0000


(2)
The following is a DFT calculation (PBE) of a geometry-optimized MnNi2Ag structure.

Output
For the volume, the calculation gives 13.6 Å³/atom. The value obtained for the density of states at the Fermi level is 5.56 states/eV/f.u.

Cell: 2.9126 2.9126 6.3904 Å, 90.00 90.00 90.00°
Element x y z (fractional)
1 Ni 0.5000 0.5000 0.2164
2 Ni 0.0000 0.0000 0.0073
3 Ag 0.0000 0.0000 0.4880
4 Mn 0.5000 0.5000 0.7884


(3)
The following is a DFT calculation (PBE) of a geometry-optimized MnNi2Ag structure.

Output
For the volume, the calculation gives 13.3 Å³/atom. The value obtained for the density of states at the Fermi level is 3.22 states/eV/f.u.

Cell: 4.4929 4.4929 4.4929 Å, 129.21 129.21 74.67°
Element x y z (fractional)
1 Ni 0.5000 0.5000 0.0000
2 Ni 0.0000 0.0000 0.0000
3 Ag 0.2500 0.7500 0.5000
4 Mn 0.7500 0.2500 0.5000


(4)
The following is a DFT calculation (PBE) of a geometry-optimized MnNi2Ag structure.

Output
For the volume, the calculation gives 13.5 Å³/atom. The value obtained for the density of states at the Fermi level is 3.36 states/eV/f.u.

Cell: 2.7607 4.6160 5.2723 Å, 53.39 90.00 90.00°
Element x y z (fractional)
1 Ag 0.5000 0.5000 0.5000
2 Mn 0.0000 0.0000 0.5000
3 Ni 0.0000 0.0000 0.0000
4 Ni 0.5000 0.5000 0.0000


Which of them is the least stable? Correct choice: (1).